Density functional theory data (PBE) for an optimized crystal structure of K3AgHg3.

Results
As for the total energy: -1.204 eV/atom. The total magnetization is 0.00 μB per cell. The density of states at the Fermi level comes out at 5.87 states/eV per cell. As for the symmetry: C2/m (12). The formation energy is -0.197 eV/atom.

Lattice parameters (Å, degrees): 4.9954 6.6689 16.3148 85.39 81.19 68.00
Atoms (fractional coordinates):
Hg: 0.0488 0.1420 0.7604
Hg: 0.9512 0.8580 0.2396
K: 0.5324 0.3253 0.6098
K: 0.4676 0.6747 0.3902
Hg: 0.1394 0.2605 0.4606
Ag: 0.2393 0.9180 0.6034
Hg: 0.8606 0.7395 0.5394
K: 0.7569 0.7265 0.7597
K: 0.2431 0.2735 0.2403
Ag: 0.7607 0.0820 0.3966
K: 0.3933 0.2939 0.9196
K: 0.6067 0.7061 0.0804
Hg: 0.1052 0.8700 0.9195
Hg: 0.8948 0.1300 0.0805